The following is a DFT calculation (GGA-PBE) of ZnAg2W after structural relaxation.

a = 4.972 Å, b = 4.972 Å, c = 4.972 Å
α = 132.46°, β = 132.46°, γ = 69.50°
Each line ends with the local moment (μB).
Positions (direct):
Ag (0.000, 0.000, 0.000)  0.00
Ag (0.500, 0.500, 0.000)  0.00
W (0.250, 0.750, 0.500)  0.06
Zn (0.750, 0.250, 0.500)  0.00

Output
N(E_F): 3.44 states/eV/f.u.
DFT total energy: -17.07 eV/cell
ΔE_f: 0.716 eV per atom